# 1
## CeNd5Er6 (PBE-GGA)

Data for CeNd5Er6 after structural relaxation.

abc: 9.4762 9.4762 9.4762
angles: 148.75 116.36 72.61
Element x y z (fractional)
Ce: 0.0000 0.0000 0.0000
Nd: 0.1653 0.6653 0.5000
Nd: 0.3341 0.3341 0.0000
Nd: 0.5000 0.0000 0.5000
Nd: 0.6659 0.6659 0.0000
Nd: 0.8347 0.3347 0.5000
Er: 0.0823 0.8345 0.2478
Er: 0.2461 0.5000 0.7461
Er: 0.4133 0.1655 0.2478
Er: 0.5867 0.8345 0.7522
Er: 0.7539 0.5000 0.2539
Er: 0.9177 0.1655 0.7522

Results
Energy of formation in eV per atom: 0.036
Fermi-level density of states in states/eV/atom: 1.532
Space group: No. 71

=====

# 2
## CeNd4Er3 (PBE-GGA)

Data for CeNd4Er3 after structural relaxation.

abc: 23.6786 3.4365 6.8534
angles: 90.00 106.68 90.00
Element x y z (fractional)
Ce: 0.0000 0.0000 0.0000
Ce: 0.5000 0.5000 0.0000
Nd: 0.1220 0.5000 0.3654
Nd: 0.2411 0.0000 0.2346
Nd: 0.2589 0.5000 0.7654
Nd: 0.3780 0.0000 0.6346
Nd: 0.6220 0.0000 0.3654
Nd: 0.7411 0.5000 0.2346
Nd: 0.7589 0.0000 0.7654
Nd: 0.8780 0.5000 0.6346
Er: 0.0000 0.5000 0.5000
Er: 0.1225 0.5000 0.8812
Er: 0.3775 0.0000 0.1188
Er: 0.5000 0.0000 0.5000
Er: 0.6225 0.0000 0.8812
Er: 0.8775 0.5000 0.1188

Results
Energy of formation in eV per atom: 0.194
Fermi-level density of states in states/eV/atom: 2.008
Space group: No. 12

=====

# 3
## CeNdEr (PBE-GGA)

Data for CeNdEr after structural relaxation.

abc: 3.5389 3.5389 8.7233
angles: 90.00 90.00 120.00
Element x y z (fractional)
Ce: 0.0000 0.0000 0.0000
Nd: 0.6667 0.3333 0.3339
Er: 0.3333 0.6667 0.6778

Results
Energy above the most stable polymorph in this dataset in meV/atom: 0
Energy of formation in eV per atom: 0.075
Fermi-level density of states in states/eV/atom: 2.245
Space group: No. 156

=====

Repeat the third record exactly.
## CeNdEr (PBE-GGA)

Data for CeNdEr after structural relaxation.

abc: 3.5389 3.5389 8.7233
angles: 90.00 90.00 120.00
Element x y z (fractional)
Ce: 0.0000 0.0000 0.0000
Nd: 0.6667 0.3333 0.3339
Er: 0.3333 0.6667 0.6778

Results
Energy above the most stable polymorph in this dataset in meV/atom: 0
Energy of formation in eV per atom: 0.075
Fermi-level density of states in states/eV/atom: 2.245
Space group: No. 156